Entry 1:
A plane-wave DFT calculation with PBE-GGA was carried out for AcLaO4 after structural relaxation.

Structure (POSCAR):
```
AcLaO4
1.0
3.476 -2.108 0.000
3.476 2.108 0.000
-0.913 0.000 6.769
Ac La O
1 1 4
Direct
0.000 0.000 0.000
0.401 0.401 0.462
0.048 0.048 0.378
0.356 0.356 0.104
0.627 0.627 0.799
0.773 0.773 0.654
```

SG: Cm (8)
Magnetic moment (μB/cell): 0.00
Uncorrected formation energy (kJ/mol of formula units): -1669
V (Å³ per atom): 16.53

Entry 2:
A plane-wave DFT calculation with PBE-GGA was carried out for AcLa2O4 after structural relaxation.

Structure (POSCAR):
```
AcLa2O4
1.0
1.787 -6.049 0.000
1.787 6.049 0.000
0.000 0.000 11.565
Ac La O
2 4 8
Direct
0.121 0.879 0.750
0.879 0.121 0.250
0.372 0.628 0.572
0.372 0.628 0.928
0.628 0.372 0.072
0.628 0.372 0.428
0.000 0.000 0.000
0.000 0.000 0.500
0.279 0.721 0.115
0.279 0.721 0.385
0.475 0.525 0.750
0.525 0.475 0.250
0.721 0.279 0.615
0.721 0.279 0.885
```

SG: Cmcm (63)
Magnetic moment (μB/cell): 0.00
Uncorrected formation energy (kJ/mol of formula units): -2126
V (Å³ per atom): 17.86

Entry 3:
A plane-wave DFT calculation with PBE-GGA was carried out for AcLaOsO6 after structural relaxation.

Structure (POSCAR):
```
AcLaOsO6
1.0
5.908 0.000 0.000
-2.954 5.117 0.000
0.000 0.000 9.436
Ac La Os O
2 2 2 12
Direct
0.333 0.667 0.250
0.667 0.333 0.750
0.000 0.000 0.000
0.000 0.000 0.500
0.333 0.667 0.750
0.667 0.333 0.250
0.068 0.385 0.634
0.068 0.683 0.866
0.317 0.385 0.866
0.317 0.932 0.634
0.385 0.068 0.134
0.385 0.317 0.366
0.615 0.683 0.634
0.615 0.932 0.866
0.683 0.068 0.366
0.683 0.615 0.134
0.932 0.317 0.134
0.932 0.615 0.366
```

SG: P-31c (163)
Magnetic moment (μB/cell): 4.03
Uncorrected formation energy (kJ/mol of formula units): -2000
V (Å³ per atom): 15.85

Entry 4:
A plane-wave DFT calculation with PBE-GGA was carried out for AcLaP2O8 after structural relaxation.

Structure (POSCAR):
```
AcLaP2O8
1.0
5.382 0.000 0.000
-2.691 4.661 0.000
0.000 0.000 7.729
Ac La P O
1 1 2 8
Direct
0.000 0.000 0.000
0.000 0.000 0.500
0.333 0.667 0.794
0.667 0.333 0.206
0.172 0.353 0.725
0.181 0.828 0.725
0.333 0.667 0.993
0.353 0.181 0.275
0.647 0.819 0.725
0.667 0.333 0.007
0.819 0.172 0.275
0.828 0.647 0.275
```

SG: P-3 (147)
Magnetic moment (μB/cell): 0.00
Uncorrected formation energy (kJ/mol of formula units): -3421
V (Å³ per atom): 16.16

Entry 5:
A plane-wave DFT calculation with PBE-GGA was carried out for AcLaPb2O8 after structural relaxation.

Structure (POSCAR):
```
AcLaPb2O8
1.0
-2.854 2.854 5.908
2.854 -2.854 5.908
2.854 2.854 -5.908
Ac La Pb O
1 1 2 8
Direct
0.000 0.000 0.000
0.250 0.750 0.500
0.500 0.500 0.000
0.750 0.250 0.500
0.040 0.094 0.448
0.217 0.655 0.065
0.345 0.410 0.562
0.408 0.960 0.054
0.590 0.152 0.935
0.646 0.592 0.552
0.848 0.783 0.438
0.906 0.354 0.946
```

SG: I-4 (82)
Magnetic moment (μB/cell): 2.07
Uncorrected formation energy (kJ/mol of formula units): -1986
V (Å³ per atom): 16.04

Entry 6:
A plane-wave DFT calculation with PBE-GGA was carried out for Ac2LaPdO5 after structural relaxation.

Structure (POSCAR):
```
Ac2LaPdO5
1.0
6.978 0.000 0.000
0.000 6.978 0.000
0.000 0.000 6.053
Ac La Pd O
4 2 2 10
Direct
0.164 0.336 0.000
0.336 0.836 0.000
0.664 0.164 0.000
0.836 0.664 0.000
0.000 0.000 0.500
0.500 0.500 0.500
0.000 0.500 0.500
0.500 0.000 0.500
0.000 0.000 0.000
0.166 0.666 0.269
0.166 0.666 0.731
0.334 0.166 0.269
0.334 0.166 0.731
0.500 0.500 0.000
0.666 0.834 0.269
0.666 0.834 0.731
0.834 0.334 0.269
0.834 0.334 0.731
```

SG: P4/mbm (127)
Magnetic moment (μB/cell): 2.58
Uncorrected formation energy (kJ/mol of formula units): -2145
V (Å³ per atom): 16.37

Entry 7:
A plane-wave DFT calculation with PBE-GGA was carried out for AcLaPdO4 after structural relaxation.

Structure (POSCAR):
```
AcLaPdO4
1.0
-3.307 3.694 5.398
3.307 -3.694 5.398
3.307 3.694 -5.398
Ac La Pd O
2 2 2 8
Direct
0.000 0.000 0.000
0.500 0.000 0.500
0.447 0.697 0.750
0.553 0.303 0.250
0.000 0.000 0.500
0.000 0.500 0.000
0.160 0.234 0.926
0.193 0.766 0.426
0.340 0.301 0.461
0.340 0.878 0.039
0.660 0.122 0.961
0.660 0.699 0.539
0.807 0.234 0.574
0.840 0.766 0.074
```

SG: Imma (74)
Magnetic moment (μB/cell): 0.00
Uncorrected formation energy (kJ/mol of formula units): -1634
V (Å³ per atom): 18.84

Entry 8:
A plane-wave DFT calculation with PBE-GGA was carried out for AcLaPdO after structural relaxation.

Structure (POSCAR):
```
AcLaPdO
1.0
4.626 0.000 0.000
0.000 4.626 0.000
0.000 0.000 9.680
Ac La Pd O
2 2 2 2
Direct
0.250 0.250 0.109
0.750 0.750 0.891
0.250 0.750 0.500
0.750 0.250 0.500
0.250 0.250 0.695
0.750 0.750 0.305
0.250 0.750 0.000
0.750 0.250 0.000
```

SG: P4/nmm (129)
Magnetic moment (μB/cell): 0.00
Uncorrected formation energy (kJ/mol of formula units): -622
V (Å³ per atom): 25.90